A relaxed Bi2O3 crystal, computed with PBE.

Unit cell a=6.040 b=6.040 c=6.039 alpha=116.50 beta=116.50 gamma=63.58
Element x y z (fractional)
Bi  0.138  0.638  0.862
Bi  0.362  0.862  0.638
Bi  0.638  0.138  0.362
Bi  0.862  0.362  0.138
O  0.006  0.994  0.250
O  0.250  0.493  0.494
O  0.493  0.250  0.994
O  0.507  0.750  0.006
O  0.750  0.507  0.506
O  0.994  0.006  0.750

As for the space-group type: C2/c (15). As for the uncorrected formation energy: -1.197 eV/atom. The value obtained for the total magnetization is 0.0 Bohr magnetons per cell.